[1]
# PBE BaAc2NpO6, relaxed
data_BaAc2NpO6
_chemical_formula_sum 'Ba1 Ac2 Np1 O6'
_cell_length_a 5.7496
_cell_length_b 5.7496
_cell_length_c 6.1078
_cell_angle_alpha 90.00
_cell_angle_beta 90.00
_cell_angle_gamma 90.00
_symmetry_space_group_name_H-M 'P 4 m m'
_symmetry_Int_Tables_number 99
_symmetry_space_group_name_Hall 'P 4 -2'
loop_
_atom_site_label
_atom_site_fract_x
_atom_site_fract_y
_atom_site_fract_z
Ba1 0.0000 0.0000 0.0000
Ac1 0.0000 0.5000 0.4620
Np1 0.5000 0.5000 0.0626
O1 0.0000 0.0000 0.5875
O2 0.2669 0.2669 0.2262
O3 0.5000 0.5000 0.7068
# total magnetization	3.0	μB per cell
# formation energy from raw total energies	-28.760	eV per formula unit
# final energy	-81.6	eV per cell
# crystal system	tetragonal
# DOS(E_F)	0.77	states/eV/atom

---

[2]
# PBE Pu4PdRh2, relaxed
data_Pu4PdRh2
_chemical_formula_sum 'Pu16 Pd4 Rh8'
_cell_length_a 8.6071
_cell_length_b 8.6071
_cell_length_c 8.5020
_cell_angle_alpha 90.00
_cell_angle_beta 90.00
_cell_angle_gamma 90.00
_symmetry_space_group_name_H-M 'I -4 2 d'
_symmetry_Int_Tables_number 122
_symmetry_space_group_name_Hall 'I -4 2bw'
loop_
_atom_site_label
_atom_site_fract_x
_atom_site_fract_y
_atom_site_fract_z
Pu1 0.0714 0.6750 0.4402
Pd1 0.0000 0.0000 0.5000
Rh1 0.1335 0.7500 0.1250
# total magnetization	85.3	μB per cell
# ΔE_f	-2.52	eV/f.u.
# final energy	-319.0	eV per cell
# crystal system	tetragonal
# DOS(E_F)	4.52	states/eV/atom
# energy relative to the lowest polymorph listed for this composition	0.0	meV per atom

---

[3]
# PBE TbY2Cd2, relaxed
data_TbY2Cd2
_chemical_formula_sum 'Tb2 Y4 Cd4'
_cell_length_a 5.0175
_cell_length_b 6.8291
_cell_length_c 8.3031
_cell_angle_alpha 90.00
_cell_angle_beta 90.00
_cell_angle_gamma 90.00
_symmetry_space_group_name_H-M 'I m m m'
_symmetry_Int_Tables_number 71
_symmetry_space_group_name_Hall '-I 2 2'
loop_
_atom_site_label
_atom_site_fract_x
_atom_site_fract_y
_atom_site_fract_z
Tb1 0.0000 0.0000 0.0000
Y1 0.0000 0.5000 0.1988
Cd1 0.0000 0.2097 0.5000
# total magnetization	0.0	μB per cell
# ΔE_f	-0.90	eV/f.u.
# final energy	-40.6	eV per cell
# crystal system	orthorhombic
# DOS(E_F)	1.27	states/eV/atom
# energy relative to the lowest polymorph listed for this composition	93.4	meV per atom

---

[4]
# PBE SrCdGa3, relaxed
data_SrCdGa3
_chemical_formula_sum 'Sr4 Cd4 Ga12'
_cell_length_a 4.5267
_cell_length_b 24.4719
_cell_length_c 4.3383
_cell_angle_alpha 90.00
_cell_angle_beta 90.00
_cell_angle_gamma 90.00
_symmetry_space_group_name_H-M 'C m c m'
_symmetry_Int_Tables_number 63
_symmetry_space_group_name_Hall '-C 2c 2'
loop_
_atom_site_label
_atom_site_fract_x
_atom_site_fract_y
_atom_site_fract_z
Sr1 0.0000 0.0797 0.2500
Cd1 0.0000 0.2025 0.7500
Ga1 0.0000 0.3124 0.7500
Ga2 0.0000 0.3705 0.2500
Ga3 0.0000 0.4743 0.2500
# total magnetization	0.0	μB per cell
# ΔE_f	-1.51	eV/f.u.
# final energy	-52.7	eV per cell
# crystal system	orthorhombic
# DOS(E_F)	0.46	states/eV/atom

---

- Which value of total magnetization does entry 2 give?
  85.3 μB per cell

---

Repeat the second record exactly.
# PBE Pu4PdRh2, relaxed
data_Pu4PdRh2
_chemical_formula_sum 'Pu16 Pd4 Rh8'
_cell_length_a 8.6071
_cell_length_b 8.6071
_cell_length_c 8.5020
_cell_angle_alpha 90.00
_cell_angle_beta 90.00
_cell_angle_gamma 90.00
_symmetry_space_group_name_H-M 'I -4 2 d'
_symmetry_Int_Tables_number 122
_symmetry_space_group_name_Hall 'I -4 2bw'
loop_
_atom_site_label
_atom_site_fract_x
_atom_site_fract_y
_atom_site_fract_z
Pu1 0.0714 0.6750 0.4402
Pd1 0.0000 0.0000 0.5000
Rh1 0.1335 0.7500 0.1250
# total magnetization	85.3	μB per cell
# ΔE_f	-2.52	eV/f.u.
# final energy	-319.0	eV per cell
# crystal system	tetragonal
# DOS(E_F)	4.52	states/eV/atom
# energy relative to the lowest polymorph listed for this composition	0.0	meV per atom